## Ac2Pd3Au5 (PBE)

Data for an optimized crystal structure of Ac2Pd3Au5.

Values from the calculation:
Total moment (μB/atom): 0.0000
DOS(E_F) (states/eV/f.u.): 3.9
Crystal system: orthorhombic
ΔH_f (0 K) (eV/atom): -0.5753
Symmetry: Ibam (72)

Cell lengths 5.8862, 9.2200, 9.2200 Å; angles 87.01, 71.39, 71.39 degrees
Closest atoms and distances in Å follow each position.
Positions (direct):
Pd  0.6369  0.5029  0.2232  5 Au 2.66-2.83
Pd  0.3631  0.4971  0.7768  5 Au 2.66-2.83
Pd  0.8631  0.7768  0.4971  5 Au 2.66-2.83
Pd  0.2500  0.0000  0.0000  6 Au 2.74-2.82, 2 Pd 2.94
Pd  0.1369  0.2232  0.5029  5 Au 2.66-2.83
Pd  0.7500  0.0000  0.0000  6 Au 2.74-2.82, 2 Pd 2.94
Au  0.6054  0.7421  0.0471  3 Pd 2.66-2.74, 2 Au 2.89
Au  0.9849  0.7651  0.7651  3 Pd 2.77-2.82, 4 Au 2.89-2.94
Au  0.8946  0.9529  0.2579  3 Pd 2.66-2.74, 2 Au 2.89
Au  0.4849  0.7651  0.7651  3 Pd 2.77-2.82, 4 Au 2.89-2.94
Au  0.7500  0.5000  0.5000  4 Pd 2.83, 2 Au 2.94
Au  0.3946  0.2579  0.9529  3 Pd 2.66-2.74, 2 Au 2.89
Au  0.5151  0.2349  0.2349  3 Pd 2.77-2.82, 4 Au 2.89-2.94
Au  0.0151  0.2349  0.2349  3 Pd 2.77-2.82, 4 Au 2.89-2.94
Au  0.1054  0.0471  0.7421  3 Pd 2.66-2.74, 2 Au 2.89
Au  0.2500  0.5000  0.5000  4 Pd 2.83, 2 Au 2.94
Ac  0.6284  0.1518  0.5915  4 Pd 3.12-3.34, 4 Au 3.24-3.37
Ac  0.1284  0.5915  0.1518  4 Pd 3.12-3.34, 4 Au 3.24-3.37
Ac  0.8716  0.4085  0.8482  4 Pd 3.12-3.34, 4 Au 3.24-3.37
Ac  0.3716  0.8482  0.4085  4 Pd 3.12-3.34, 4 Au 3.24-3.37